No. 1
Ag3AsSe3 at its PBEsol-relaxed geometry, computed with meta-GGA SCAN. Values from VASP.

Geometry as Quantum ESPRESSO input:
```
&SYSTEM
  ibrav = 0, nat = 84, ntyp = 3
/
ATOMIC_SPECIES
Ag 107.87 Ag.upf
As 74.92 As.upf
Se 78.96 Se.upf
CELL_PARAMETERS angstrom
-0.109 -7.093 3.390
1.884 -4.832 -10.050
20.246 1.222 3.207
ATOMIC_POSITIONS angstrom
Ag 1.896 -3.608 -3.399
Ag 12.955 -5.778 -6.646
Ag 17.631 -2.647 -1.985
Ag 18.514 -4.911 -6.695
Ag 15.203 -3.499 -0.438
Ag 14.110 -8.364 -2.878
Ag 20.808 -8.847 -3.699
Ag 12.231 -8.169 -0.618
Ag 6.818 -7.203 -3.015
Ag 1.195 -4.492 1.908
Ag 14.590 -6.373 -0.764
Ag 13.032 -10.224 -4.892
Ag 6.548 -2.065 2.020
Ag 4.390 -8.056 -1.467
Ag 20.826 -6.210 -5.361
Ag 7.911 -2.339 -0.574
Ag 1.213 -1.855 0.246
Ag 20.025 -4.156 -1.087
Ag 14.674 -2.141 2.387
Ag 15.473 -8.638 -5.473
Ag 9.790 -2.533 -2.834
Ag 6.044 -5.097 -7.750
Ag 3.051 -6.175 0.359
Ag 12.272 -4.025 -3.001
Ag 9.065 -4.924 3.193
Ag 20.124 -7.094 -0.053
Ag 18.969 -4.527 -3.812
Ag 3.507 -5.791 3.242
Ag 16.506 -6.964 1.472
Ag 7.430 -4.329 -2.689
Ag 7.347 -8.561 -5.840
Ag 1.996 -6.547 -2.366
Ag 5.514 -3.739 -4.925
Ag 15.977 -5.605 4.297
Ag 8.989 -0.478 1.439
Ag 9.749 -6.677 -0.452
As 17.460 -8.232 -2.314
As 3.445 -8.716 -4.708
As 4.560 -2.470 -1.139
As 2.485 -5.495 -6.437
As 18.576 -1.986 1.255
As 6.404 -5.902 0.856
As 15.617 -4.801 -4.309
As 9.398 -4.814 -5.468
As 10.350 -8.563 -3.487
As 12.623 -5.888 2.016
As 11.671 -2.139 0.035
As 19.536 -5.208 2.984
Se 12.140 -5.571 -0.363
Se 10.513 -6.753 -6.463
Se 13.585 -6.077 -4.076
Se 1.038 -4.748 -0.704
Se 2.926 -10.754 -5.961
Se 2.293 -9.132 -2.588
Se 19.095 0.052 2.509
Se 15.857 -8.617 -0.502
Se 6.163 -2.086 -2.951
Se 16.393 -1.183 0.460
Se 8.436 -4.625 0.623
Se 12.762 -0.547 1.513
Se 12.050 -10.036 -2.460
Se 11.507 -3.949 3.010
Se 19.727 -1.570 -0.865
Se 4.833 -4.211 1.676
Se 2.564 -1.437 -2.010
Se 13.366 -2.095 -1.708
Se 14.834 -4.821 1.917
Se 9.259 -10.155 -4.965
Se 3.553 -5.372 -4.256
Se 17.188 -6.491 -5.129
Se 5.593 -0.622 0.093
Se 5.403 -5.675 -1.368
Se 9.881 -5.131 -3.089
Se 19.457 -9.266 -1.443
Se 4.157 -6.920 -7.477
Se 8.655 -8.607 -1.745
Se 16.428 -10.080 -3.546
Se 18.467 -5.330 0.804
Se 16.618 -5.028 -2.085
Se 9.971 -0.666 -0.992
Se 5.628 -9.519 -3.913
Se 7.186 -5.881 -5.370
Se 17.864 -3.782 4.024
Se 20.982 -5.954 -2.749
```

Properties
E above lowest polymorph (kJ per mole of atoms): 0.0
Electronic total energy (eV per cell): -2104.5
Formation energy (no corrections) (meV per atom): -121
Space group: No. 62

No. 2
AgAsSe3 at its PBEsol-relaxed geometry, computed with meta-GGA SCAN. Values from VASP.

Geometry as Quantum ESPRESSO input:
```
&SYSTEM
  ibrav = 0, nat = 5, ntyp = 3
/
ATOMIC_SPECIES
As 74.92 As.upf
Se 78.96 Se.upf
Ag 107.87 Ag.upf
CELL_PARAMETERS angstrom
-1.098 -4.708 1.102
4.113 -1.503 -2.325
2.541 0.399 4.239
ATOMIC_POSITIONS angstrom
As 0.000 0.000 0.000
Se 2.057 -0.751 -1.162
Se 1.271 0.200 2.119
Se -0.549 -2.354 0.551
Ag 2.779 -2.906 1.508
```

Properties
Electronic total energy (eV per cell): -109.2
Formation energy (no corrections) (meV per atom): 522
Space group: No. 221

No. 3
SiAgAsSe2 at its PBEsol-relaxed geometry, computed with meta-GGA SCAN. Values from VASP.

Geometry as Quantum ESPRESSO input:
```
&SYSTEM
  ibrav = 0, nat = 5, ntyp = 4
/
ATOMIC_SPECIES
As 74.92 As.upf
Si 28.09 Si.upf
Se 78.96 Se.upf
Ag 107.87 Ag.upf
CELL_PARAMETERS angstrom
4.816 0.000 0.000
0.000 4.982 0.000
0.000 0.000 4.982
ATOMIC_POSITIONS angstrom
As 2.408 0.000 0.000
Si 2.408 2.491 2.491
Se 0.000 0.000 2.491
Se 0.000 2.491 0.000
Ag 0.000 0.000 0.000
```

Properties
Electronic total energy (eV per cell): -96.6
Formation energy (no corrections) (meV per atom): 1034
Space group: No. 123

No. 4
TaAgAs2Se at its PBEsol-relaxed geometry, computed with meta-GGA SCAN. Values from VASP.

Geometry as Quantum ESPRESSO input:
```
&SYSTEM
  ibrav = 0, nat = 5, ntyp = 4
/
ATOMIC_SPECIES
As 74.92 As.upf
Se 78.96 Se.upf
Ag 107.87 Ag.upf
Ta 180.95 Ta.upf
CELL_PARAMETERS angstrom
-1.119 0.401 4.634
2.256 -4.121 0.902
4.127 2.431 0.786
ATOMIC_POSITIONS angstrom
As 1.128 -2.061 0.451
As -0.559 0.201 2.317
Se 2.063 1.216 0.393
Ag 0.000 0.000 0.000
Ta 2.632 -0.644 3.161
```

Properties
Electronic total energy (eV per cell): -151.8
Formation energy (no corrections) (meV per atom): 1325
Space group: No. 123

No. 5
AgTe2AsSe at its PBEsol-relaxed geometry, computed with meta-GGA SCAN. Values from VASP.

Geometry as Quantum ESPRESSO input:
```
&SYSTEM
  ibrav = 0, nat = 5, ntyp = 4
/
ATOMIC_SPECIES
As 74.92 As.upf
Te 127.60 Te.upf
Se 78.96 Se.upf
Ag 107.87 Ag.upf
CELL_PARAMETERS angstrom
4.711 0.000 0.000
0.000 5.497 0.000
0.000 0.000 5.497
ATOMIC_POSITIONS angstrom
As 2.355 2.748 2.748
Te 0.000 0.000 2.748
Te 0.000 2.748 0.000
Se 0.000 0.000 0.000
Ag 2.355 0.000 0.000
```

Properties
E above lowest polymorph (kJ per mole of atoms): 0.0
Electronic total energy (eV per cell): -142.6
Formation energy (no corrections) (meV per atom): 706
Space group: No. 123

No. 6
AgTe2AsSe at its PBEsol-relaxed geometry, computed with meta-GGA SCAN. Values from VASP.

Geometry as Quantum ESPRESSO input:
```
&SYSTEM
  ibrav = 0, nat = 5, ntyp = 4
/
ATOMIC_SPECIES
As 74.92 As.upf
Te 127.60 Te.upf
Se 78.96 Se.upf
Ag 107.87 Ag.upf
CELL_PARAMETERS angstrom
4.831 0.000 0.000
0.000 5.306 0.000
0.000 0.000 5.306
ATOMIC_POSITIONS angstrom
As 2.416 2.653 2.653
Te 0.000 0.000 2.653
Te 0.000 2.653 0.000
Se 2.416 0.000 0.000
Ag 0.000 0.000 0.000
```

Properties
E above lowest polymorph (kJ per mole of atoms): 10.9
Electronic total energy (eV per cell): -142.0
Formation energy (no corrections) (meV per atom): 819
Space group: No. 123

No. 7
AgAsWSe2 at its PBEsol-relaxed geometry, computed with meta-GGA SCAN. Values from VASP.

Geometry as Quantum ESPRESSO input:
```
&SYSTEM
  ibrav = 0, nat = 5, ntyp = 4
/
ATOMIC_SPECIES
As 74.92 As.upf
Se 78.96 Se.upf
Ag 107.87 Ag.upf
W 183.84 W.upf
CELL_PARAMETERS angstrom
-4.146 1.779 1.660
0.079 -3.213 3.641
2.457 3.168 2.742
ATOMIC_POSITIONS angstrom
As -2.073 0.890 0.830
Se 1.229 1.584 1.371
Se 0.040 -1.607 1.821
Ag 0.000 0.000 0.000
W -0.805 0.867 4.022
```

Properties
Electronic total energy (eV per cell): -153.4
Formation energy (no corrections) (meV per atom): 1594
Space group: No. 123

No. 8
SiAg2As at its PBEsol-relaxed geometry, computed with meta-GGA SCAN. Values from VASP.

Geometry as Quantum ESPRESSO input:
```
&SYSTEM
  ibrav = 0, nat = 4, ntyp = 3
/
ATOMIC_SPECIES
Ag 107.87 Ag.upf
As 74.92 As.upf
Si 28.09 Si.upf
CELL_PARAMETERS angstrom
4.609 0.000 0.000
2.305 3.992 0.000
2.305 1.331 3.763
ATOMIC_POSITIONS angstrom
Ag 6.914 3.992 2.823
Ag 2.305 1.331 0.941
As 0.000 0.000 0.000
Si 4.609 2.661 1.882
```

Properties
Electronic total energy (eV per cell): -91.2
Formation energy (no corrections) (meV per atom): 430
Space group: No. 225